Y2SnSbCl: optimized geometry, GGA-PBE.

a b c (Å): 5.811 5.559 5.811
angles (deg): 90.00 90.00 90.00
Last column: magnetic moment on the atom in μB.
Element x y z (fractional)
Cl 0.500 0.500 0.500  0.03
Sb 0.000 0.000 0.000  -0.01
Y 0.500 0.000 0.000  0.18
Y 0.000 0.000 0.500  0.17
Sn 0.000 0.500 0.000  0.02

Properties
As for the space group: No. 123. The calculation puts the magnetic moment at 0.85 μB per cell. As for the volume: 187.7 Å³ per cell. The calculation puts the formation energy without anion corrections at 0.24 eV/f.u.

Sr2SbCl: optimized geometry, GGA-PBE.

a b c (Å): 5.633 5.632 3.996
angles (deg): 90.00 90.00 90.00
Element x y z (fractional)
Sr 0.000 0.000 0.000
Cl 0.500 0.000 0.500
Sr 0.500 0.500 0.000
Sb 0.000 0.500 0.500

Properties
As for the space group: No. 123. The calculation puts the magnetic moment at 0.00 μB per cell. As for the volume: 126.8 Å³ per cell. The calculation puts the formation energy without anion corrections at -5.41 eV/f.u.

SrSb2Cl8: optimized geometry, GGA-PBE.

a b c (Å): 4.489 9.797 9.855
angles (deg): 94.30 109.27 86.97
Element x y z (fractional)
Cl 0.660 0.569 0.213
Cl 0.972 0.188 0.997
Cl 0.028 0.812 0.003
Sb 0.635 0.266 0.687
Sb 0.365 0.734 0.313
Cl 0.340 0.431 0.787
Cl 0.321 0.063 0.687
Cl 0.325 0.301 0.442
Cl 0.675 0.699 0.558
Sr 0.500 0.000 0.000
Cl 0.679 0.937 0.313

Properties
As for the space group: No. 2. The calculation puts the magnetic moment at 0.00 μB per cell. As for the volume: 407.8 Å³ per cell. The calculation puts the formation energy without anion corrections at -14.01 eV/f.u.

Sr2SbCl: optimized geometry, GGA-PBE.

a b c (Å): 4.095 4.320 8.053
angles (deg): 90.14 90.00 90.00
Element x y z (fractional)
Sb 0.500 0.750 0.750
Cl 0.500 0.250 0.250
Sr 0.000 0.250 0.535
Sr 0.000 0.250 0.965

Properties
As for the space group: No. 10. The calculation puts the magnetic moment at 0.00 μB per cell. As for the volume: 142.4 Å³ per cell. The calculation puts the formation energy without anion corrections at -5.78 eV/f.u.

Sr4SbCl: optimized geometry, GGA-PBE.

a b c (Å): 7.162 7.162 7.162
angles (deg): 60.00 60.00 60.00
Element x y z (fractional)
Sr 0.374 0.374 0.879
Sr 0.374 0.879 0.374
Cl 0.750 0.750 0.750
Sr 0.879 0.374 0.374
Sb 0.000 0.000 0.000
Sr 0.374 0.374 0.374

Properties
As for the space group: No. 216. The calculation puts the magnetic moment at 0.00 μB per cell. As for the volume: 259.8 Å³ per cell. The calculation puts the formation energy without anion corrections at -0.60 eV/f.u.

Sr2SbCl: optimized geometry, GGA-PBE.

a b c (Å): 4.681 4.681 8.356
angles (deg): 73.73 73.73 60.00
Element x y z (fractional)
Sr 0.077 0.077 0.768
Sb 0.668 0.668 0.995
Sr 0.262 0.262 0.213
Cl 0.492 0.492 0.523

Properties
As for the space group: No. 160. The calculation puts the magnetic moment at 0.00 μB per cell. As for the volume: 150.1 Å³ per cell. The calculation puts the formation energy without anion corrections at -5.84 eV/f.u.

SrSb4Cl: optimized geometry, GGA-PBE.

a b c (Å): 6.365 6.365 6.365
angles (deg): 60.00 60.00 60.00
Element x y z (fractional)
Cl 0.000 0.000 0.000
Sb 0.368 0.368 0.895
Sb 0.368 0.895 0.368
Sb 0.895 0.368 0.368
Sb 0.368 0.368 0.368
Sr 0.750 0.750 0.750

Properties
As for the space group: No. 216. The calculation puts the magnetic moment at 0.00 μB per cell. As for the volume: 182.4 Å³ per cell. The calculation puts the formation energy without anion corrections at -2.47 eV/f.u.

Sr2SbCl: optimized geometry, GGA-PBE.

a b c (Å): 5.628 5.628 5.628
angles (deg): 60.00 60.00 60.00
Element x y z (fractional)
Sr 0.250 0.250 0.250
Sb 0.500 0.500 0.500
Sr 0.750 0.750 0.750
Cl 0.000 0.000 0.000

Properties
As for the space group: No. 225. The calculation puts the magnetic moment at 0.00 μB per cell. As for the volume: 126.0 Å³ per cell. The calculation puts the formation energy without anion corrections at -5.85 eV/f.u.

Sr4Sb2Cl: optimized geometry, GGA-PBE.

a b c (Å): 5.450 5.450 9.560
angles (deg): 106.56 106.56 90.00
Element x y z (fractional)
Sb 0.630 0.630 0.260
Sb 0.370 0.370 0.740
Sr 0.184 0.184 0.367
Sr 0.000 0.500 0.000
Sr 0.816 0.816 0.633
Cl 0.000 0.000 0.000
Sr 0.500 0.000 0.000

Properties
As for the space group: No. 139. The calculation puts the magnetic moment at 0.00 μB per cell. As for the volume: 259.8 Å³ per cell. The calculation puts the formation energy without anion corrections at -7.51 eV/f.u.

Sr2Sb2Cl: optimized geometry, GGA-PBE.

a b c (Å): 4.508 4.508 9.371
angles (deg): 76.08 76.08 90.00
Element x y z (fractional)
Sr 0.387 0.387 0.226
Cl 0.000 0.000 0.000
Sb 0.750 0.250 0.500
Sr 0.613 0.613 0.774
Sb 0.250 0.750 0.500

Properties
Its energy above the most stable polymorph in this dataset is 235.0 meV/atom. As for the space group: No. 139. The calculation puts the magnetic moment at 0.00 μB per cell. As for the volume: 179.1 Å³ per cell. The calculation puts the formation energy without anion corrections at -4.84 eV/f.u.

Sr2Sb2Cl: optimized geometry, GGA-PBE.

a b c (Å): 8.214 8.214 5.018
angles (deg): 90.00 90.00 90.00
Element x y z (fractional)
Sr 0.822 0.678 0.000
Cl 0.500 0.500 0.000
Sb 0.880 0.380 0.500
Cl 0.000 0.000 0.000
Sb 0.620 0.880 0.500
Sb 0.120 0.620 0.500
Sb 0.380 0.120 0.500
Sr 0.178 0.322 0.000
Sr 0.322 0.822 0.000
Sr 0.678 0.178 0.000

Properties
Its energy above the most stable polymorph in this dataset is 0.0 meV/atom. As for the space group: No. 127. The calculation puts the magnetic moment at 0.00 μB per cell. As for the volume: 338.6 Å³ per cell. The calculation puts the formation energy without anion corrections at -6.01 eV/f.u.

Sr2SbCl: optimized geometry, GGA-PBE.

a b c (Å): 6.510 6.512 13.353
angles (deg): 89.99 90.00 90.00
Element x y z (fractional)
Sr 0.750 0.000 0.382
Sr 0.750 0.000 0.868
Cl 0.250 0.000 0.875
Sb 0.750 0.500 0.875
Sr 0.250 0.500 0.368
Cl 0.750 0.500 0.375
Sr 0.250 0.500 0.882
Sb 0.250 0.000 0.375
Sr 0.750 0.500 0.118
Cl 0.750 0.000 0.125
Sr 0.250 0.000 0.618
Sb 0.750 0.000 0.625
Sr 0.250 0.000 0.132
Sb 0.250 0.500 0.125
Sr 0.750 0.500 0.632
Cl 0.250 0.500 0.625

Properties
As for the space group: No. 74. The calculation puts the magnetic moment at 0.00 μB per cell. As for the volume: 566.1 Å³ per cell. The calculation puts the formation energy without anion corrections at -6.28 eV/f.u.